No. 1
The following is a DFT calculation (PBE) of crystalline Ac4AsPbI2 at its relaxed geometry.

Results
Total DFT energy (no corrections) (eV/atom): -4.523
ρ (Mg/m³): 7.79
Formation energy without anion corrections (eV/atom): -1.036

Unit cell a=8.262 b=4.733 c=8.335 alpha=90.00 beta=109.12 gamma=90.00
Space group P2/m (No. 10)
Inequivalent atoms, fractional coordinates:
Ac1 0.221 0.000 0.208 x2
Ac2 0.242 0.500 0.783 x2
As1 0.000 0.500 0.000 x1
Pb1 0.500 0.000 0.000 x1
I1 0.000 0.000 0.500 x1
I2 0.500 0.500 0.500 x1

No. 2
The following is a DFT calculation (PBE) of crystalline Li2La2HoIn2 at its relaxed geometry.

Results
Total DFT energy (no corrections) (eV/atom): -3.663
E_form (meV per atom): -272
ρ (Mg/m³): 6.24

Unit cell a=4.8700 b=4.8700 c=26.6760 alpha=90.00 beta=90.00 gamma=120.00
Space group R-3m (No. 166, hexagonal axes)
Inequivalent atoms, fractional coordinates:
Li1 0.0000 0.0000 0.1071 x6
La1 0.0000 0.0000 0.3656 x6
Ho1 0.0000 0.0000 0.5000 x3
In1 0.0000 0.0000 0.2312 x6

No. 3
The following is a DFT calculation (PBE) of crystalline Cu3ReI at its relaxed geometry.

Results
Total DFT energy (no corrections) (eV/atom): -3.814
ρ (Mg/m³): 7.65
Formation energy without anion corrections (eV/atom): 1.444

Unit cell a=4.782 b=4.782 c=4.782 alpha=90.00 beta=90.00 gamma=90.00
Space group Pm-3m (No. 221)
Inequivalent atoms, fractional coordinates:
Cu1 0.000 0.000 0.500 x3
Re1 0.000 0.000 0.000 x1
I1 0.500 0.500 0.500 x1

No. 4
The following is a DFT calculation (PBE) of crystalline Ac8Pd3CI4 at its relaxed geometry.

Results
Total DFT energy (no corrections) (eV/atom): -4.809
ρ (Mg/m³): 7.67
Formation energy without anion corrections (eV/atom): -0.817

Unit cell a=15.205 b=8.808 c=9.968 alpha=90.00 beta=120.58 gamma=90.00
Space group C2/m (No. 12)
Inequivalent atoms, fractional coordinates:
Ac1 0.017 0.232 0.318 x8
Ac2 0.215 0.000 0.683 x4
Ac3 0.230 0.500 0.689 x4
Pd1 0.000 0.500 0.500 x2
Pd2 0.250 0.250 0.500 x4
C1 0.000 0.000 0.500 x2
I1 0.000 0.000 0.000 x2
I2 0.000 0.500 0.000 x2
I3 0.250 0.250 0.000 x4

No. 5
The following is a DFT calculation (PBE) of crystalline TbTe at its relaxed geometry.

Results
Total DFT energy (no corrections) (eV/atom): -5.079
ρ (Mg/m³): 8.74
Formation energy without anion corrections (eV/atom): -1.193

Unit cell a=3.790 b=3.790 c=3.790 alpha=90.00 beta=90.00 gamma=90.00
Space group Pm-3m (No. 221)
Inequivalent atoms, fractional coordinates:
Tb1 0.000 0.000 0.000 x1
Te1 0.500 0.500 0.500 x1

No. 6
The following is a DFT calculation (PBE) of crystalline BaS2Cl at its relaxed geometry.

Results
Total DFT energy (no corrections) (eV/atom): -4.087
ρ (Mg/m³): 3.40
Formation energy without anion corrections (eV/atom): -1.081

Unit cell a=4.316 b=4.316 c=24.876 alpha=90.00 beta=90.00 gamma=90.00
Space group I-42d (No. 122)
Inequivalent atoms, fractional coordinates:
Ba1 0.000 0.000 0.000 x4
S1 0.095 0.250 0.625 x8
Cl1 0.000 0.000 0.500 x4

No. 7
The following is a DFT calculation (PBE) of crystalline MgW2Cl at its relaxed geometry.

Results
Total DFT energy (no corrections) (eV/atom): -5.800
ρ (Mg/m³): 10.85
Formation energy without anion corrections (eV/atom): 1.536

Unit cell a=6.397 b=6.397 c=6.397 alpha=90.00 beta=90.00 gamma=90.00
Space group Fm-3m (No. 225)
Inequivalent atoms, fractional coordinates:
Mg1 0.000 0.000 0.000 x4
W1 0.250 0.250 0.250 x8
Cl1 0.000 0.000 0.500 x4

No. 8
The following is a DFT calculation (PBE) of crystalline HfNb3Os at its relaxed geometry.

Results
Total DFT energy (no corrections) (eV/atom): -10.265
E_form (meV per atom): 14
ρ (Mg/m³): 11.40

Unit cell a=9.773 b=3.044 c=12.683 alpha=90.00 beta=90.00 gamma=90.00
Space group Pnma (No. 62)
Inequivalent atoms, fractional coordinates:
Hf1 0.152 0.250 0.006 x4
Nb1 0.042 0.750 0.810 x4
Nb2 0.069 0.250 0.601 x4
Nb3 0.207 0.750 0.235 x4
Os1 0.153 0.250 0.401 x4

No. 9
The following is a DFT calculation (PBE) of crystalline RbNpInS4 at its relaxed geometry.

Results
Total DFT energy (no corrections) (eV/atom): -5.664
ρ (Mg/m³): 4.49
Formation energy without anion corrections (eV/atom): -0.928

Unit cell a=7.972 b=8.389 c=12.502 alpha=90.00 beta=90.00 gamma=90.00
Space group Imma (No. 74)
Inequivalent atoms, fractional coordinates:
Rb1 0.000 0.250 0.139 x4
Np1 0.000 0.000 0.500 x4
In1 0.250 0.250 0.750 x4
S1 0.000 0.046 0.721 x8
S2 0.210 0.250 0.518 x8

No. 10
The following is a DFT calculation (PBE) of crystalline PmAl3Co2 at its relaxed geometry.

Results
Total DFT energy (no corrections) (eV/atom): -5.531
E_form (meV per atom): -500
ρ (Mg/m³): 5.77

Unit cell a=9.758 b=7.731 c=5.248 alpha=90.00 beta=90.00 gamma=90.00
Space group Cmcm (No. 63)
Inequivalent atoms, fractional coordinates:
Pm1 0.000 0.148 0.250 x4
Al1 0.000 0.454 0.750 x4
Al2 0.193 0.223 0.750 x8
Co1 0.206 0.500 0.000 x8

No. 11
The following is a DFT calculation (PBE) of crystalline Be3AgI at its relaxed geometry.

Results
Total DFT energy (no corrections) (eV/atom): -2.165
ρ (Mg/m³): 4.57
Formation energy without anion corrections (eV/atom): 0.951

Unit cell a=4.566 b=4.566 c=4.566 alpha=90.00 beta=90.00 gamma=90.00
Space group Pm-3m (No. 221)
Inequivalent atoms, fractional coordinates:
Be1 0.000 0.000 0.500 x3
Ag1 0.000 0.000 0.000 x1
I1 0.500 0.500 0.500 x1

No. 12
The following is a DFT calculation (PBE) of crystalline CrFe5Re2 at its relaxed geometry.

Results
Total DFT energy (no corrections) (eV/atom): -9.509
E_form (meV per atom): 95
ρ (Mg/m³): 11.95

Unit cell a=3.680 b=3.680 c=14.441 alpha=90.00 beta=90.00 gamma=90.00
Space group I4/mmm (No. 139)
Inequivalent atoms, fractional coordinates:
Cr1 0.000 0.000 0.000 x2
Fe1 0.000 0.000 0.500 x2
Fe2 0.000 0.500 0.119 x8
Re1 0.000 0.000 0.252 x4

No. 13
The following is a DFT calculation (PBE) of crystalline KMgP2 at its relaxed geometry.

Results
Total DFT energy (no corrections) (eV/atom): -3.225
E_form (meV per atom): 153
ρ (Mg/m³): 2.52

Unit cell a=4.519 b=4.530 c=8.059 alpha=90.00 beta=90.00 gamma=90.00
Space group Immm (No. 71)
Inequivalent atoms, fractional coordinates:
K1 0.000 0.000 0.000 x2
Mg1 0.000 0.000 0.500 x2
P1 0.000 0.500 0.250 x4

No. 14
The following is a DFT calculation (PBE) of crystalline LaZnNF2 at its relaxed geometry.

Results
Total DFT energy (no corrections) (eV/atom): -5.149
ρ (Mg/m³): 4.09
Formation energy without anion corrections (eV/atom): -1.496

Unit cell a=4.613 b=4.613 c=4.890 alpha=90.00 beta=90.00 gamma=90.00
Space group P4/mmm (No. 123)
Inequivalent atoms, fractional coordinates:
La1 0.000 0.000 0.000 x1
Zn1 0.500 0.500 0.500 x1
N1 0.000 0.000 0.500 x1
F1 0.000 0.500 0.000 x2

No. 15
The following is a DFT calculation (PBE) of crystalline LiLaZrGa at its relaxed geometry.

Results
Total DFT energy (no corrections) (eV/atom): -4.749
E_form (meV per atom): -145
ρ (Mg/m³): 5.60

Unit cell a=7.139 b=7.139 c=7.139 alpha=90.00 beta=90.00 gamma=90.00
Space group F-43m (No. 216)
Inequivalent atoms, fractional coordinates:
Li1 0.000 0.000 0.000 x4
La1 0.250 0.250 0.250 x4
Zr1 0.250 0.250 0.750 x4
Ga1 0.000 0.000 0.500 x4